The following is a PBE calculation of Dy2Ho3ScBi2Os after structural relaxation, from OQMD via LeMat-Bulk.

For the total moment, the calculation gives 0.0 μB/cell. As for the uncorrected energy: -5.957 eV/atom. Its volume is 27.204 A^3/atom.

Cell and atoms, written as CIF:
```
data_Dy2Ho3ScBi2Os
_symmetry_space_group_name_H-M 'A m m 2'
_symmetry_Int_Tables_number 38
_cell_length_a 4.202
_cell_length_b 14.124
_cell_length_c 8.251
_cell_angle_alpha 90.00
_cell_angle_beta 90.00
_cell_angle_gamma 90.00
loop_
_symmetry_equiv_pos_as_xyz
'x,y,z'
'-x,-y,z'
'-x,y,z'
'x,-y,z'
'x,y+1/2,z+1/2'
'-x,-y+1/2,z+1/2'
'-x,y+1/2,z+1/2'
'x,-y+1/2,z+1/2'
loop_
_atom_site_label
_atom_site_fract_x
_atom_site_fract_y
_atom_site_fract_z
_atom_site_occupancy
Dy1 0.000 0.114 0.000 1
Ho1 0.500 0.000 0.289 1
Ho2 0.500 0.191 0.692 1
Sc1 0.000 0.000 0.647 1
Bi1 0.000 0.165 0.388 1
Os1 0.500 0.000 0.852 1
```

The following is a PBE calculation of Dy3Ho2ScBi2Os after structural relaxation, from OQMD via LeMat-Bulk.

For the total moment, the calculation gives 0.1 μB/cell. As for the uncorrected energy: -5.974 eV/atom. Its volume is 27.233 A^3/atom.

Cell and atoms, written as CIF:
```
data_Dy3Ho2ScBi2Os
_symmetry_space_group_name_H-M 'A m m 2'
_symmetry_Int_Tables_number 38
_cell_length_a 4.217
_cell_length_b 14.134
_cell_length_c 8.225
_cell_angle_alpha 90.00
_cell_angle_beta 90.00
_cell_angle_gamma 90.00
loop_
_symmetry_equiv_pos_as_xyz
'x,y,z'
'-x,-y,z'
'-x,y,z'
'x,-y,z'
'x,y+1/2,z+1/2'
'-x,-y+1/2,z+1/2'
'-x,y+1/2,z+1/2'
'x,-y+1/2,z+1/2'
loop_
_atom_site_label
_atom_site_fract_x
_atom_site_fract_y
_atom_site_fract_z
_atom_site_occupancy
Dy1 0.000 0.000 0.000 1
Dy2 0.000 0.192 0.407 1
Ho1 0.500 0.114 0.716 1
Sc1 0.500 0.000 0.369 1
Bi1 0.500 0.164 0.104 1
Os1 0.000 0.000 0.576 1
```